Cs2ScSnCl6 after structural relaxation, computed with PBE.

```
20
Lattice="7.3894 0.0000 0.0000 0.0000 10.6917 0.0000 0.0000 0.0000 8.5729" Properties=species:S:1:pos:R:3 pbc="T T T"
Cs 1.8474 0.0498 2.1340
Cs 1.8474 5.2960 2.1340
Cs 5.5421 5.3956 6.4389
Cs 5.5421 10.6418 6.4389
Sc 1.8474 2.6729 6.4371
Sc 5.5421 8.0187 2.1358
Sn 1.8474 8.0187 6.4225
Sn 5.5421 2.6729 2.1504
Cl 0.0632 2.6729 4.6711
Cl 0.0644 2.6729 8.2073
Cl 1.8474 0.1409 6.4409
Cl 1.8474 5.2049 6.4409
Cl 3.6315 2.6729 4.6711
Cl 3.6303 2.6729 8.2073
Cl 3.7591 8.0187 0.3656
Cl 3.7579 8.0187 3.9018
Cl 5.5421 5.4867 2.1320
Cl 5.5421 10.5508 2.1320
Cl 7.3250 8.0187 0.3656
Cl 7.3262 8.0187 3.9018
```

Properties
The calculation puts the energy relative to the elements, uncorrected at -163.0 kJ/mol of atoms.

***

Ag2As3 after structural relaxation, computed with PBE.

```
5
Lattice="3.6570 0.0000 0.0000 -1.8285 3.1671 0.0000 0.0000 0.0000 9.2030" Properties=species:S:1:pos:R:3 pbc="T T T"
Ag 0.0000 2.1114 2.8895
Ag 1.8285 1.0557 6.3136
As 0.0000 0.0000 4.6015
As 0.0000 2.1114 8.4729
As 1.8285 1.0557 0.7301
```

Properties
For the formation energy, the calculation gives 240 meV/atom.